A plane-wave DFT calculation with GGA-PBE was carried out for a geometry-optimized P2WCl structure. Values from VASP.

Its space group is Imm2. The spin magnetization comes out at 0.000 μB per cell. As for the volume: 83.5 Å³ per cell. The total energy comes out at -6.40 eV/atom. The relative energy among the computed polymorphs comes out at 0.1409 eV/atom. The calculation puts the raw formation energy at 10 meV/atom. The calculation puts the density at 5.6 g/cm3.

Quantum ESPRESSO input file:
```
&SYSTEM
  ibrav = 0, nat = 4, ntyp = 3
/
ATOMIC_SPECIES
P 30.97 P.upf
W 183.84 W.upf
Cl 35.45 Cl.upf
ATOMIC_POSITIONS crystal
P 0.3720 0.8720 0.5000
W 0.5164 0.5164 0.0000
Cl 0.6454 0.1454 0.5000
P 0.9662 0.9662 0.0000
CELL_PARAMETERS angstrom
7.9419 0.1536 0.0039
6.4672 4.6123 -0.0039
-7.1589 -2.5211 2.3436
```